Here is a relaxed MgTaWO6 crystal from Alexandria. Energies are from PBE with a Hubbard U.

Results
**Electronic total energy**: -7.9758 eV per atom

Cell lengths 5.207, 5.207, 9.210 Å; angles 90.00, 90.00, 120.00 degrees
Fractional coordinates of all 18 atoms:
O: 0.652 0.000 0.367
O: 0.000 0.348 0.633
Mg: 0.000 0.000 0.000
W: 0.667 0.333 0.750
Ta: 0.667 0.333 0.250
O: 0.348 0.000 0.633
O: 0.348 0.000 0.133
O: 0.652 0.652 0.633
O: 0.000 0.348 0.133
O: 0.652 0.000 0.867
W: 0.333 0.667 0.250
O: 0.652 0.652 0.133
O: 0.348 0.348 0.367
Ta: 0.333 0.667 0.750
O: 0.000 0.652 0.867
O: 0.348 0.348 0.867
Mg: 0.000 0.000 0.500
O: 0.000 0.652 0.367